A.
Compound: Ce2HfBi
Source: Alexandria
Functional: GGA-PBE
Structure: optimized geometry

Output
**Density of states at the Fermi level**: 1.923 states/eV/atom
**Density**: 10.3 g/cm³
**Magnetization**: 1.54 μB per formula unit
**Symmetry**: R-3m, No. 166
**Crystal system**: trigonal

```
4
Lattice="1.630 0.941 11.738 -1.630 0.941 11.738 0.000 -1.883 11.738" Properties=species:S:1:pos:R:3 pbc="T T T"
Ce 0.000 0.000 2.943
Ce 0.000 0.000 32.270
Hf 0.000 0.000 0.000
Bi 0.000 0.000 17.607
```



B.
Compound: Ce2HfBi
Source: Alexandria
Functional: GGA-PBE
Structure: optimized geometry

Output
**Density of states at the Fermi level**: 1.944 states/eV/atom
**Density**: 10.8 g/cm³
**Magnetization**: 0.00 μB per formula unit
**Symmetry**: P4/mmm, No. 123
**Crystal system**: tetragonal

```
4
Lattice="4.567 0.000 0.000 0.000 4.567 0.000 0.000 0.000 4.932" Properties=species:S:1:pos:R:3 pbc="T T T"
Ce 0.000 2.284 0.000
Ce 2.284 0.000 0.000
Hf 0.000 0.000 2.466
Bi 2.284 2.284 2.466
```



Energy comparison, zero being the most stable, in meV per atom: A 378; B 0.



A.
Compound: Ce6Hg5Bi
Source: Alexandria
Functional: GGA-PBE
Structure: optimized geometry

Output
**Density of states at the Fermi level**: 3.799 states/eV/atom
**Density**: 10.0 g/cm³
**Magnetization**: 8.87 μB per formula unit
**Symmetry**: Immm, No. 71
**Crystal system**: orthorhombic

```
12
Lattice="-2.783 3.668 8.385 2.783 -3.668 8.385 2.783 3.668 -8.385" Properties=species:S:1:pos:R:3 pbc="T T T"
Ce 2.783 1.826 -2.798
Ce 0.000 1.825 0.000
Ce 2.783 1.826 2.798
Ce 0.000 1.843 5.587
Ce 0.000 5.512 0.000
Ce 0.000 1.843 11.182
Hg 0.000 0.000 2.904
Hg 2.783 0.000 5.602
Hg 0.000 0.000 8.385
Hg 0.000 3.668 2.782
Hg 0.000 0.000 13.865
Bi 2.783 0.000 0.000
```



B.
Compound: Ce6Hg5Bi
Source: Alexandria
Functional: GGA-PBE
Structure: optimized geometry

Output
**Density of states at the Fermi level**: 3.256 states/eV/atom
**Density**: 10.4 g/cm³
**Magnetization**: 7.36 μB per formula unit
**Symmetry**: P2/m, No. 10
**Crystal system**: monoclinic

```
12
Lattice="4.892 0.000 0.000 0.000 9.085 0.000 -2.422 0.000 7.368" Properties=species:S:1:pos:R:3 pbc="T T T"
Ce 0.000 2.250 0.000
Ce 0.000 6.835 0.000
Ce 0.017 2.231 4.865
Ce 0.017 6.854 4.865
Ce 2.453 2.231 2.503
Ce 2.453 6.854 2.503
Hg 0.007 0.000 2.420
Hg 0.009 4.543 2.530
Hg 2.446 0.000 0.000
Hg 2.461 4.543 4.837
Hg 2.463 0.000 4.948
Bi 2.446 4.543 0.000
```



Energy comparison, zero being the most stable, in meV per atom: A 7; B 0.